Material: Ho2ZnTc
Method: DFT, SCAN
State: PBEsol geometry

Structure (extended XYZ):
```
4
Lattice="4.819 0.000 0.000 2.409 4.173 0.000 2.409 1.391 3.934" Properties=species:S:1:pos:R:3 pbc="T T T"
Ho 7.228 4.173 2.951
Ho 2.409 1.391 0.984
Zn 4.819 2.782 1.967
Tc 0.000 0.000 0.000
```

## Properties
* density of states at the Fermi level: 0.6263 states/eV per atom
* total magnetization: 0.00 Bohr magnetons per cell
* ΔE_f: -242.0 meV per atom
* total DFT energy (no corrections): -36.880 eV/atom

***

Material: Ho2Te5
Method: DFT, SCAN
State: PBEsol geometry

Structure (extended XYZ):
```
14
Lattice="4.302 0.000 0.000 0.000 4.303 0.000 -2.151 0.000 21.445" Properties=species:S:1:pos:R:3 pbc="T T T"
Ho 0.000 3.227 4.269
Ho 2.151 1.076 8.296
Ho 0.000 3.227 13.150
Ho 2.151 1.076 17.177
Te 0.000 1.076 10.723
Te 0.000 1.076 1.869
Te 2.151 3.227 19.577
Te 2.151 3.227 10.723
Te 0.000 3.227 7.434
Te 2.151 3.227 1.871
Te 0.000 1.076 19.575
Te 2.151 1.076 5.208
Te 2.151 1.076 14.011
Te 0.000 3.227 16.237
```

## Properties
* density of states at the Fermi level: 0.2278 states/eV per atom
* total magnetization: 0.00 Bohr magnetons per cell
* E_form (uncorrected): -1108 meV/atom
* total DFT energy (no corrections): -41.713 eV/atom

***

Number 1 is which compound? Ho2ZnTc